First-principles (SCAN) data for a PBEsol-optimized structure of Y3RuO, as listed in Alexandria.

Values from the calculation:
- ΔE to the lowest computed polymorph: 0.0000 eV/atom
- Total DFT energy (no corrections): -26.22 eV/atom
- Theoretical density: 6.59 g/cm³
- Formation energy (no corrections): -6.53 eV per formula unit
- Space-group type: Pm-3m (221)

Cell lengths 4.5910, 4.5910, 4.5910 Å; angles 90.00, 90.00, 90.00 degrees
Last column: nearest neighbours and their distance in Å.
Element x y z (fractional)
Y  0.0000  0.0000  0.5000  2 O 2.30
Y  0.0000  0.5000  0.0000  2 O 2.30
Y  0.5000  0.0000  0.0000  2 O 2.30
Ru  0.5000  0.5000  0.5000  12 Y 3.25
O  0.0000  0.0000  0.0000  6 Y 2.30



First-principles (SCAN) data for a PBEsol-optimized structure of YZnRu2O, as listed in Alexandria.

Values from the calculation:
- Total DFT energy (no corrections): -21.30 eV/atom
- Theoretical density: 5.18 g/cm³
- Formation energy (no corrections): 10.73 eV per formula unit
- Space-group type: P4/mmm (123)

Cell lengths 4.7402, 4.7402, 5.3179 Å; angles 90.00, 90.00, 90.00 degrees
Last column: nearest neighbours and their distance in Å.
Element x y z (fractional)
Y  0.0000  0.0000  0.0000  4 Ru 2.37
Zn  0.0000  0.0000  0.5000  2 Y 2.66
Ru  0.0000  0.5000  0.0000  2 Y 2.37
Ru  0.5000  0.0000  0.0000  2 Y 2.37
O  0.5000  0.5000  0.5000  4 Zn 3.35, 8 Ru 3.56



First-principles (SCAN) data for a PBEsol-optimized structure of S8O, as listed in Alexandria.

Values from the calculation:
- Total DFT energy (no corrections): -9.39 eV/atom
- Theoretical density: 2.11 g/cm³
- Formation energy (no corrections): -1.21 eV per formula unit
- Space-group type: Pca2_1 (29)

Cell lengths 13.1325, 8.1676, 8.0146 Å; angles 90.00, 90.00, 90.00 degrees
Last column: nearest neighbours and their distance in Å.
Element x y z (fractional)
S  0.0281  0.0219  0.0000  2 S 1.99-2.08
S  0.0316  0.5220  0.4961  2 S 2.04-2.08
S  0.0925  0.1328  0.4404  2 S 2.05-2.08
S  0.0930  0.3207  0.6091  2 S 2.04-2.05
S  0.1210  0.4618  0.0650  2 S 2.00-2.08
S  0.1429  0.9756  0.8442  2 S 1.99-2.23
S  0.2054  0.5629  0.8854  2 S 2.00-2.23
S  0.2404  0.8080  0.9945  1 O 1.49
S  0.2596  0.8080  0.4945  1 O 1.49
S  0.2946  0.5629  0.3854  2 S 2.00-2.23
S  0.3571  0.9756  0.3442  2 S 1.99-2.23
S  0.3790  0.4618  0.5650  2 S 2.00-2.08
S  0.4075  0.1328  0.9404  2 S 2.05-2.08
S  0.4070  0.3207  0.1091  2 S 2.04-2.05
S  0.4684  0.5220  0.9961  2 S 2.04-2.08
S  0.4719  0.0219  0.5000  2 S 1.99-2.08
S  0.5281  0.9781  0.0000  2 S 1.99-2.08
S  0.5316  0.4780  0.4961  2 S 2.04-2.08
S  0.5930  0.6793  0.6091  2 S 2.04-2.05
S  0.5925  0.8672  0.4404  2 S 2.05-2.08
S  0.6210  0.5382  0.0650  2 S 2.00-2.08
S  0.6429  0.0244  0.8442  2 S 1.99-2.23
S  0.7054  0.4371  0.8854  2 S 2.00-2.23
S  0.7404  0.1920  0.9945  1 O 1.49
S  0.7596  0.1920  0.4945  1 O 1.49
S  0.7946  0.4371  0.3854  2 S 2.00-2.23
S  0.8571  0.0244  0.3442  2 S 1.99-2.23
S  0.8790  0.5382  0.5650  2 S 2.00-2.08
S  0.9070  0.6793  0.1091  2 S 2.04-2.05
S  0.9075  0.8672  0.9404  2 S 2.05-2.08
S  0.9684  0.4780  0.9961  2 S 2.04-2.08
S  0.9719  0.9781  0.5000  2 S 1.99-2.08
O  0.1926  0.8059  0.1628  1 S 1.49
O  0.3074  0.8059  0.6628  1 S 1.49
O  0.6926  0.1941  0.1628  1 S 1.49
O  0.8074  0.1941  0.6628  1 S 1.49



First-principles (SCAN) data for a PBEsol-optimized structure of SO3, as listed in Alexandria.

Values from the calculation:
- Total DFT energy (no corrections): -8.30 eV/atom
- Theoretical density: 2.28 g/cm³
- Formation energy (no corrections): -4.89 eV per formula unit
- Space-group type: P2_1/c (14)

Cell lengths 6.3541, 4.0984, 9.5573 Å; angles 90.00, 110.11, 90.00 degrees
Last column: nearest neighbours and their distance in Å.
Element x y z (fractional)
S  0.1734  0.0237  0.2931  2 O 1.41
S  0.1734  0.4763  0.7931  2 O 1.41
S  0.8266  0.5237  0.2069  2 O 1.41
S  0.8266  0.9763  0.7069  2 O 1.41
O  0.0040  0.2265  0.6722  2 S 1.64
O  0.0040  0.2735  0.1722  2 S 1.64
O  0.2740  0.1870  0.4302  1 S 1.41
O  0.2740  0.3130  0.9302  1 S 1.41
O  0.2862  0.6394  0.7093  1 S 1.41
O  0.2862  0.8606  0.2093  1 S 1.41
O  0.7138  0.1394  0.7907  1 S 1.41
O  0.7138  0.3606  0.2907  1 S 1.41
O  0.7260  0.6870  0.0698  1 S 1.41
O  0.7260  0.8130  0.5698  1 S 1.41
O  0.9960  0.7265  0.8278  2 S 1.64
O  0.9960  0.7735  0.3278  2 S 1.64



First-principles (SCAN) data for a PBEsol-optimized structure of SO3, as listed in Alexandria.

Values from the calculation:
- Total DFT energy (no corrections): -8.30 eV/atom
- Theoretical density: 2.13 g/cm³
- Formation energy (no corrections): -4.87 eV per formula unit
- Space-group type: Pna2_1 (33)

Cell lengths 11.1647, 12.5088, 5.3557 Å; angles 90.00, 90.00, 90.00 degrees
Last column: nearest neighbours and their distance in Å.
Element x y z (fractional)
S  0.1349  0.0766  0.0000  2 O 1.41
S  0.1426  0.6463  0.2885  2 O 1.41
S  0.1908  0.4228  0.3368  2 O 1.41-1.42
S  0.3092  0.9228  0.8368  2 O 1.41-1.42
S  0.3574  0.1463  0.7885  2 O 1.41
S  0.3651  0.5766  0.5000  2 O 1.41
S  0.6349  0.4234  0.0000  2 O 1.41
S  0.6426  0.8537  0.2885  2 O 1.41
S  0.6908  0.0772  0.3368  2 O 1.41-1.42
S  0.8092  0.5772  0.8368  2 O 1.41-1.42
S  0.8574  0.3537  0.7885  2 O 1.41
S  0.8651  0.9234  0.5000  2 O 1.41
O  0.0142  0.0939  0.9328  1 S 1.41
O  0.0863  0.6496  0.5251  1 S 1.41
O  0.1149  0.7133  0.0846  1 S 1.41
O  0.1355  0.4182  0.5744  1 S 1.42
O  0.1386  0.5242  0.1760  2 S 1.64
O  0.1702  0.9630  0.8649  2 S 1.64
O  0.1808  0.0793  0.2461  1 S 1.41
O  0.1961  0.3378  0.1642  1 S 1.41
O  0.2116  0.1565  0.8184  2 S 1.64
O  0.2884  0.6565  0.3184  2 S 1.64
O  0.3039  0.8378  0.6642  1 S 1.41
O  0.3192  0.5793  0.7461  1 S 1.41
O  0.3298  0.4630  0.3649  2 S 1.64
O  0.3614  0.0242  0.6760  2 S 1.64
O  0.3645  0.9182  0.0744  1 S 1.42
O  0.3851  0.2133  0.5846  1 S 1.41
O  0.4137  0.1496  0.0251  1 S 1.41
O  0.4858  0.5939  0.4328  1 S 1.41
O  0.5142  0.4061  0.9328  1 S 1.41
O  0.5863  0.8504  0.5251  1 S 1.41
O  0.6149  0.7867  0.0846  1 S 1.41
O  0.6355  0.0818  0.5744  1 S 1.42
O  0.6386  0.9758  0.1760  2 S 1.64
O  0.6702  0.5370  0.8649  2 S 1.64
O  0.6808  0.4207  0.2461  1 S 1.41
O  0.6961  0.1622  0.1642  1 S 1.41
O  0.7116  0.3435  0.8184  2 S 1.64
O  0.7884  0.8435  0.3184  2 S 1.64
O  0.8039  0.6622  0.6642  1 S 1.41
O  0.8192  0.9207  0.7461  1 S 1.41
O  0.8298  0.0370  0.3649  2 S 1.64
O  0.8614  0.4758  0.6760  2 S 1.64
O  0.8645  0.5818  0.0744  1 S 1.42
O  0.8851  0.2867  0.5846  1 S 1.41
O  0.9137  0.3504  0.0251  1 S 1.41
O  0.9858  0.9061  0.4328  1 S 1.41



First-principles (SCAN) data for a PBEsol-optimized structure of Sb2S2O9, as listed in Alexandria.

Values from the calculation:
- Total DFT energy (no corrections): -13.01 eV/atom
- Theoretical density: 3.97 g/cm³
- Formation energy (no corrections): -19.22 eV per formula unit
- Space-group type: P4_12_12 (92)

Cell lengths 6.5599, 6.5599, 17.5458 Å; angles 90.00, 90.00, 90.00 degrees
Last column: nearest neighbours and their distance in Å.
Element x y z (fractional)
Sb  0.0278  0.1608  0.1602  2 O 1.94-2.16
Sb  0.1608  0.0278  0.8398  2 O 1.94-2.16
Sb  0.3392  0.5278  0.4102  2 O 1.94-2.16
Sb  0.4722  0.6608  0.0898  2 O 1.94-2.16
Sb  0.5278  0.3392  0.5898  2 O 1.94-2.16
Sb  0.6608  0.4722  0.9102  2 O 1.94-2.16
Sb  0.8392  0.9722  0.3398  2 O 1.94-2.16
Sb  0.9722  0.8392  0.6602  2 O 1.94-2.16
S  0.0389  0.3574  0.6965  4 O 1.47-1.50
S  0.1426  0.5389  0.9465  4 O 1.47-1.50
S  0.3574  0.0389  0.3035  4 O 1.47-1.50
S  0.4611  0.8574  0.5535  4 O 1.47-1.50
S  0.5389  0.1426  0.0535  4 O 1.47-1.50
S  0.6426  0.9611  0.8035  4 O 1.47-1.50
S  0.8574  0.4611  0.4465  4 O 1.47-1.50
S  0.9611  0.6426  0.1965  4 O 1.47-1.50
O  0.0102  0.6265  0.4552  1 S 1.48
O  0.0507  0.8259  0.1586  1 S 1.49
O  0.0516  0.7033  0.9007  1 S 1.47
O  0.1160  0.3018  0.7739  1 S 1.50
O  0.1265  0.4898  0.2052  1 S 1.48
O  0.1438  0.8562  0.7500  2 Sb 1.94
O  0.1741  0.9493  0.3414  1 S 1.49
O  0.1982  0.6160  0.0239  1 S 1.50
O  0.2033  0.4484  0.6507  1 S 1.47
O  0.2967  0.9484  0.5993  1 S 1.47
O  0.3018  0.1160  0.2261  1 S 1.50
O  0.3259  0.4493  0.9086  1 S 1.49
O  0.3562  0.3562  0.5000  2 Sb 1.94
O  0.3735  0.9898  0.0448  1 S 1.48
O  0.3840  0.8018  0.4761  1 S 1.50
O  0.4484  0.2033  0.3493  1 S 1.47
O  0.4493  0.3259  0.0914  1 S 1.49
O  0.4898  0.1265  0.7948  1 S 1.48
O  0.5102  0.8735  0.2948  1 S 1.48
O  0.5507  0.6741  0.5914  1 S 1.49
O  0.5516  0.7967  0.8493  1 S 1.47
O  0.6160  0.1982  0.9761  1 S 1.50
O  0.6265  0.0102  0.5448  1 S 1.48
O  0.6438  0.6438  0.0000  2 Sb 1.94
O  0.6741  0.5507  0.4086  1 S 1.49
O  0.6982  0.8840  0.7261  1 S 1.50
O  0.7033  0.0516  0.0993  1 S 1.47
O  0.7967  0.5516  0.1507  1 S 1.47
O  0.8018  0.3840  0.5239  1 S 1.50
O  0.8259  0.0507  0.8414  1 S 1.49
O  0.8562  0.1438  0.2500  2 Sb 1.94
O  0.8735  0.5102  0.7052  1 S 1.48
O  0.8840  0.6982  0.2739  1 S 1.50
O  0.9484  0.2967  0.4007  1 S 1.47
O  0.9493  0.1741  0.6586  1 S 1.49
O  0.9898  0.3735  0.9552  1 S 1.48



First-principles (SCAN) data for a PBEsol-optimized structure of Sb2S6O21, as listed in Alexandria.

Values from the calculation:
- Total DFT energy (no corrections): -10.46 eV/atom
- Theoretical density: 3.23 g/cm³
- Formation energy (no corrections): -40.13 eV per formula unit
- Space-group type: P-1 (2)

Cell lengths 6.6146, 9.6770, 12.6379 Å; angles 86.61, 82.72, 81.27 degrees
Last column: nearest neighbours and their distance in Å.
Element x y z (fractional)
Sb  0.2278  0.4000  0.2883  4 O 2.08-2.32
Sb  0.2370  0.0926  0.7313  4 O 2.13-2.28
Sb  0.7630  0.9074  0.2687  4 O 2.13-2.28
Sb  0.7722  0.6000  0.7117  4 O 2.08-2.32
S  0.0705  0.3257  0.9152  3 O 1.42-1.51
S  0.0980  0.6979  0.4555  3 O 1.44-1.47
S  0.2831  0.0295  0.2164  3 O 1.43-1.49
S  0.3322  0.4402  0.7533  3 O 1.43-1.47
S  0.4352  0.8125  0.9020  3 O 1.42-1.47
S  0.4509  0.7833  0.5417  3 O 1.43-1.50
S  0.5491  0.2167  0.4583  3 O 1.43-1.50
S  0.5648  0.1875  0.0980  3 O 1.42-1.47
S  0.6678  0.5598  0.2467  3 O 1.43-1.47
S  0.7169  0.9705  0.7836  3 O 1.43-1.49
S  0.9020  0.3021  0.5445  3 O 1.44-1.47
S  0.9295  0.6743  0.0848  3 O 1.42-1.51
O  0.0160  0.2939  0.4395  1 S 1.44
O  0.0400  0.3362  0.0279  1 S 1.42
O  0.0537  0.8185  0.3844  1 S 1.45
O  0.0843  0.6085  0.1496  1 S 1.44
O  0.0980  0.9827  0.1943  1 S 1.43
O  0.1011  0.5637  0.4064  1 S 1.47
O  0.1516  0.1771  0.8848  1 S 1.51
O  0.2072  0.5687  0.7262  1 S 1.43
O  0.2621  0.1396  0.2922  1 S 1.45
O  0.2792  0.4040  0.8790  2 S 1.61-1.68
O  0.2902  0.8968  0.8359  1 S 1.47
O  0.2911  0.3193  0.6979  1 S 1.47
O  0.2923  0.8662  0.6088  1 S 1.44
O  0.3428  0.6869  0.4695  2 S 1.64
O  0.3686  0.7993  0.0127  1 S 1.42
O  0.3717  0.0934  0.1021  2 S 1.61-1.67
O  0.4146  0.1447  0.5326  1 S 1.43
O  0.4346  0.3361  0.3990  1 S 1.50
O  0.4414  0.9100  0.2425  1 S 1.49
O  0.4443  0.5560  0.2551  1 S 1.47
O  0.4715  0.3183  0.1491  1 S 1.47
O  0.5285  0.6817  0.8509  1 S 1.47
O  0.5557  0.4440  0.7449  1 S 1.47
O  0.5586  0.0900  0.7575  1 S 1.49
O  0.5654  0.6639  0.6010  1 S 1.50
O  0.5854  0.8553  0.4674  1 S 1.43
O  0.6283  0.9066  0.8979  2 S 1.61-1.67
O  0.6314  0.2007  0.9873  1 S 1.42
O  0.6572  0.3131  0.5305  2 S 1.64
O  0.7077  0.1338  0.3912  1 S 1.44
O  0.7089  0.6807  0.3021  1 S 1.47
O  0.7098  0.1032  0.1641  1 S 1.47
O  0.7208  0.5960  0.1210  2 S 1.61-1.68
O  0.7379  0.8604  0.7078  1 S 1.45
O  0.7928  0.4313  0.2738  1 S 1.43
O  0.8484  0.8229  0.1152  1 S 1.51
O  0.8989  0.4363  0.5936  1 S 1.47
O  0.9020  0.0173  0.8057  1 S 1.43
O  0.9157  0.3915  0.8504  1 S 1.44
O  0.9463  0.1815  0.6156  1 S 1.45
O  0.9600  0.6638  0.9721  1 S 1.42
O  0.9840  0.7061  0.5605  1 S 1.44